[1]
Below is a relaxed structure of TaMn2Nb2, with properties calculated at the PBE-GGA level.

```
data_TaMn2Nb2
_symmetry_space_group_name_H-M 'P 1'
_symmetry_Int_Tables_number 1
_cell_length_a 6.912
_cell_length_b 6.912
_cell_length_c 3.283
_cell_angle_alpha 90.00
_cell_angle_beta 90.00
_cell_angle_gamma 90.00
loop_
_symmetry_equiv_pos_as_xyz
'x,y,z'
loop_
_atom_site_label
_atom_site_fract_x
_atom_site_fract_y
_atom_site_fract_z
Ta1 0.500 0.500 0.000
Ta2 0.000 0.000 0.000
Mn1 0.106 0.394 0.000
Mn2 0.894 0.606 0.000
Mn3 0.606 0.106 0.000
Mn4 0.394 0.894 0.000
Nb1 0.700 0.800 0.500
Nb2 0.800 0.300 0.500
Nb3 0.200 0.700 0.500
Nb4 0.300 0.200 0.500
```

## Properties
formation energy: 0.1212 eV/atom
SG: P4/mbm
relative energy among the computed polymorphs: 0.021 eV/atom
calculated total energy: -99.45 eV/cell

***

[2]
Below is a relaxed structure of Ta12MnNb6, with properties calculated at the PBE-GGA level.

```
data_Ta12MnNb6
_symmetry_space_group_name_H-M 'P 1'
_symmetry_Int_Tables_number 1
_cell_length_a 7.068
_cell_length_b 7.068
_cell_length_c 7.068
_cell_angle_alpha 88.24
_cell_angle_beta 88.24
_cell_angle_gamma 88.24
loop_
_symmetry_equiv_pos_as_xyz
'x,y,z'
loop_
_atom_site_label
_atom_site_fract_x
_atom_site_fract_y
_atom_site_fract_z
Ta1 0.519 0.422 0.809
Ta2 0.809 0.519 0.422
Ta3 0.623 0.945 0.850
Ta4 0.945 0.850 0.623
Ta5 0.150 0.377 0.055
Ta6 0.191 0.481 0.578
Ta7 0.578 0.191 0.481
Ta8 0.055 0.150 0.377
Ta9 0.377 0.055 0.150
Ta10 0.481 0.578 0.191
Ta11 0.850 0.623 0.945
Ta12 0.422 0.809 0.519
Nb1 0.263 0.112 0.744
Nb2 0.112 0.744 0.263
Nb3 0.256 0.737 0.888
Nb4 0.737 0.888 0.256
Nb5 0.744 0.263 0.112
Nb6 0.888 0.256 0.737
Mn1 0.000 0.000 0.000
```

## Properties
formation energy: 0.1541 eV/atom
SG: R-3
calculated total energy: -208.89 eV/cell

***

[3]
Below is a relaxed structure of TaMn3Nb2, with properties calculated at the PBE-GGA level.

```
data_TaMn3Nb2
_symmetry_space_group_name_H-M 'P 1'
_symmetry_Int_Tables_number 1
_cell_length_a 3.068
_cell_length_b 3.068
_cell_length_c 9.198
_cell_angle_alpha 90.00
_cell_angle_beta 90.00
_cell_angle_gamma 90.00
loop_
_symmetry_equiv_pos_as_xyz
'x,y,z'
loop_
_atom_site_label
_atom_site_fract_x
_atom_site_fract_y
_atom_site_fract_z
Mn1 0.000 0.000 0.666
Mn2 0.000 0.000 0.000
Mn3 0.000 0.000 0.334
Nb1 0.500 0.500 0.833
Nb2 0.500 0.500 0.167
Ta1 0.500 0.500 0.500
```

## Properties
formation energy: -0.1602 eV/atom
SG: P4/mmm
calculated total energy: -60.46 eV/cell

***

What is the formation energy in the third record? -0.1602 eV/atom

***

Look up the calculated total energy of the third one. -60.46 eV/cell

***

Among the records above, which one has the lowest formation energy? TaMn3Nb2

***

Number 2 is which compound? Ta12MnNb6